Material: RbBa3Au
Method: DFT, PBE
State: optimized geometry

abc: 6.848 6.848 6.848
angles: 90.00 90.00 90.00
Element x y z (fractional)
Rb: 0.000 0.000 0.000
Ba: 0.000 0.000 0.500
Ba: 0.000 0.500 0.000
Ba: 0.500 0.000 0.000
Au: 0.500 0.500 0.500

The formation energy comes out at 391 kJ/mol of formula units. As for the space-group type: Pm-3m, No. 221. The value obtained for the total energy is -5.959 eV per cell. The value obtained for the total moment is 3.7 Bohr magnetons per cell.